1.
Material: Sm6DyYEr2
Method: DFT, PBE
State: relaxed

Computed properties:
Symmetry: C2/c
DFT formation energy: 0.117 eV per atom

a b c (Å): 8.885 8.885 9.605
angles (deg): 93.78 93.78 118.00
Fractional positions:
Sm 0.015 0.565 0.186
Sm 0.120 0.758 0.554
Sm 0.242 0.880 0.946
Sm 0.291 0.506 0.380
Sm 0.435 0.985 0.314
Sm 0.494 0.709 0.120
Sm 0.506 0.291 0.880
Sm 0.565 0.015 0.686
Sm 0.709 0.494 0.620
Sm 0.758 0.120 0.054
Sm 0.880 0.242 0.446
Sm 0.985 0.435 0.814
Dy 0.410 0.590 0.750
Dy 0.590 0.410 0.250
Y 0.026 0.974 0.250
Y 0.974 0.026 0.750
Er 0.199 0.302 0.045
Er 0.302 0.199 0.545
Er 0.698 0.801 0.455
Er 0.801 0.698 0.955


2.
Material: Na2NdZnSb2
Method: DFT, PBE
State: relaxed

Computed properties:
Symmetry: Pmc2_1
Raw formation energy: -3.29 eV/f.u.

a b c (Å): 4.583 8.917 8.128
angles (deg): 90.00 90.00 90.00
Fractional positions:
Na 0.000 0.093 0.000
Na 0.000 0.907 0.500
Na 0.500 0.151 0.329
Na 0.500 0.849 0.829
Nd 0.500 0.473 0.975
Nd 0.500 0.527 0.475
Zn 0.000 0.323 0.626
Zn 0.000 0.677 0.126
Sb 0.000 0.379 0.238
Sb 0.000 0.621 0.738
Sb 0.500 0.184 0.721
Sb 0.500 0.816 0.221


3.
Material: PuNi3S3
Method: DFT, PBE
State: relaxed

Computed properties:
Symmetry: R-3
Raw formation energy: -5.39 eV/f.u.

a b c (Å): 7.339 7.339 7.339
angles (deg): 52.11 52.11 52.11
Fractional positions:
Pu 0.167 0.167 0.167
Pu 0.833 0.833 0.833
Ni 0.040 0.710 0.377
Ni 0.290 0.623 0.960
Ni 0.377 0.040 0.710
Ni 0.623 0.960 0.290
Ni 0.710 0.377 0.040
Ni 0.960 0.290 0.623
S 0.081 0.411 0.745
S 0.255 0.919 0.589
S 0.411 0.745 0.081
S 0.589 0.255 0.919
S 0.745 0.081 0.411
S 0.919 0.589 0.255


4.
Material: RbAcMoN3
Method: DFT, PBE
State: relaxed

Computed properties:
Symmetry: C2/m
Raw formation energy: -2.61 eV/f.u.

a b c (Å): 7.581 7.581 8.442
angles (deg): 104.76 104.76 30.62
Fractional positions:
Rb 0.134 0.134 0.066
Rb 0.866 0.866 0.934
Ac 0.163 0.163 0.604
Ac 0.837 0.837 0.396
Mo 0.489 0.489 0.669
Mo 0.511 0.511 0.331
N 0.013 0.013 0.352
N 0.350 0.350 0.639
N 0.379 0.379 0.214
N 0.621 0.621 0.786
N 0.650 0.650 0.361
N 0.987 0.987 0.648


no.,total DFT energy (no corrections) (eV per formula unit)
1,-47.34
2,-20.21
3,-49.44
4,-43.50